PrNd2In4 after structural relaxation. Source: Alexandria via LeMat-Bulk, functional PBE-GGA.

Computed properties:
- calculated formation energy (eV per atom) = -0.424
- ΔE to the lowest computed polymorph (kJ per mole of atoms) = 0.00
- electronic total energy (hartree per atom) = -0.1482

abc: 6.1330 7.8909 8.7474
angles: 98.89 90.90 103.08
Sites, in units of the cell vectors:
Pr: 0.0000 0.0000 0.0000
Pr: 0.2481 0.8777 0.6449
Nd: 0.3591 0.3329 0.7386
Nd: 0.6208 0.8700 0.3079
Nd: 0.7661 0.3568 0.3693
Nd: 0.8706 0.5066 0.9305
In: 0.0613 0.7229 0.2694
In: 0.1791 0.1250 0.3738
In: 0.3104 0.4197 0.1171
In: 0.3156 0.5257 0.4504
In: 0.4160 0.7333 0.9453
In: 0.5478 0.1309 0.0135
In: 0.7229 0.7102 0.6518
In: 0.8183 0.1233 0.6673

PrNdIn after structural relaxation. Source: Alexandria via LeMat-Bulk, functional PBE-GGA.

Computed properties:
- calculated formation energy (eV per atom) = -0.340
- ΔE to the lowest computed polymorph (kJ per mole of atoms) = 0.00
- electronic total energy (hartree per atom) = -0.1630

abc: 5.5909 5.5909 6.9586
angles: 90.00 90.00 120.00
Sites, in units of the cell vectors:
Pr: 0.0000 0.0000 0.0000
Pr: 0.0000 0.0000 0.5000
Nd: 0.3333 0.6667 0.2500
Nd: 0.6667 0.3333 0.7500
In: 0.3333 0.6667 0.7500
In: 0.6667 0.3333 0.2500

Pr2Nd5In after structural relaxation. Source: Alexandria via LeMat-Bulk, functional PBE-GGA.

Computed properties:
- calculated formation energy (eV per atom) = -0.112
- electronic total energy (hartree per atom) = -0.1701

abc: 5.0471 5.0471 21.0051
angles: 90.00 90.00 90.00
Sites, in units of the cell vectors:
Pr: 0.0000 0.0000 0.2476
Pr: 0.0000 0.0000 0.7524
Pr: 0.5000 0.5000 0.2524
Pr: 0.5000 0.5000 0.7476
Nd: 0.0000 0.0000 0.0000
Nd: 0.0000 0.5000 0.1200
Nd: 0.0000 0.5000 0.3800
Nd: 0.0000 0.5000 0.6200
Nd: 0.0000 0.5000 0.8800
Nd: 0.5000 0.0000 0.1200
Nd: 0.5000 0.0000 0.3800
Nd: 0.5000 0.0000 0.6200
Nd: 0.5000 0.0000 0.8800
Nd: 0.5000 0.5000 0.5000
In: 0.0000 0.0000 0.5000
In: 0.5000 0.5000 0.0000

PrNdIn2 after structural relaxation. Source: Alexandria via LeMat-Bulk, functional PBE-GGA.

Computed properties:
- calculated formation energy (eV per atom) = -0.495
- electronic total energy (hartree per atom) = -0.1562

abc: 3.8904 3.8904 7.7772
angles: 90.00 90.00 90.00
Sites, in units of the cell vectors:
Pr: 0.0000 0.0000 0.0000
Nd: 0.0000 0.0000 0.5000
In: 0.5000 0.5000 0.2529
In: 0.5000 0.5000 0.7471

Please write out number 4 again, unchanged.
PrNdIn2 after structural relaxation. Source: Alexandria via LeMat-Bulk, functional PBE-GGA.

Computed properties:
- calculated formation energy (eV per atom) = -0.495
- electronic total energy (hartree per atom) = -0.1562

abc: 3.8904 3.8904 7.7772
angles: 90.00 90.00 90.00
Sites, in units of the cell vectors:
Pr: 0.0000 0.0000 0.0000
Nd: 0.0000 0.0000 0.5000
In: 0.5000 0.5000 0.2529
In: 0.5000 0.5000 0.7471

Repeat the third record exactly.
Pr2Nd5In after structural relaxation. Source: Alexandria via LeMat-Bulk, functional PBE-GGA.

Computed properties:
- calculated formation energy (eV per atom) = -0.112
- electronic total energy (hartree per atom) = -0.1701

abc: 5.0471 5.0471 21.0051
angles: 90.00 90.00 90.00
Sites, in units of the cell vectors:
Pr: 0.0000 0.0000 0.2476
Pr: 0.0000 0.0000 0.7524
Pr: 0.5000 0.5000 0.2524
Pr: 0.5000 0.5000 0.7476
Nd: 0.0000 0.0000 0.0000
Nd: 0.0000 0.5000 0.1200
Nd: 0.0000 0.5000 0.3800
Nd: 0.0000 0.5000 0.6200
Nd: 0.0000 0.5000 0.8800
Nd: 0.5000 0.0000 0.1200
Nd: 0.5000 0.0000 0.3800
Nd: 0.5000 0.0000 0.6200
Nd: 0.5000 0.0000 0.8800
Nd: 0.5000 0.5000 0.5000
In: 0.0000 0.0000 0.5000
In: 0.5000 0.5000 0.0000

> Among the records above, which one has the highest electronic total energy?

PrNd2In4